[1]
Entry from the Alexandria database: a relaxed structure of LuFeCo2 (PBE-GGA).

Values from the calculation:
- ρ (g/cm³) = 10.15
- crystal system = cubic
- VASP energy (eV per atom) = -6.829
- energy of formation from the pure elements (meV/atom) = -30
- magnetization (μB/cell) = 5.06

Unit cell a=4.321 b=4.321 c=4.321 alpha=60.00 beta=60.00 gamma=60.00
Last column: magnetic moment on the atom in μB.
Atoms (fractional coordinates):
Lu 0.000 0.000 0.000  -0.26
Co 0.750 0.750 0.750  1.26
Co 0.250 0.250 0.250  1.26
Fe 0.500 0.500 0.500  2.86

=====

[2]
Entry from the Alexandria database: a relaxed structure of HfCoSe3 (PBE-GGA).

Values from the calculation:
- formation energy (no corrections) (eV/atom) = 0.071
- ρ (g/cm³) = 8.00
- crystal system = cubic
- VASP energy (eV per atom) = -5.432
- magnetization (μB/cell) = 0.00

Unit cell a=4.618 b=4.618 c=4.618 alpha=90.00 beta=90.00 gamma=90.00
Atoms (fractional coordinates):
Se 0.000 0.000 0.500
Se 0.000 0.500 0.000
Se 0.500 0.000 0.000
Co 0.000 0.000 0.000
Hf 0.500 0.500 0.500